Entry 1:
VASP calculation (PBE) on a relaxed KPmCd4 crystal.

Lattice parameters (Å, degrees): 6.1198 6.1198 6.1198 60.00 60.00 60.00
Atoms (fractional coordinates):
K 0.0000 0.0000 0.0000
Pm 0.7500 0.7500 0.7500
Cd 0.3756 0.3756 0.3756
Cd 0.3756 0.3756 0.8733
Cd 0.3756 0.8733 0.3756
Cd 0.8733 0.3756 0.3756

- M_tot: 0.0000 μB/atom
- SG: No. 216
- Total energy: -1.68 eV/atom



Entry 2:
VASP calculation (PBE) on a relaxed KPmCd17 crystal.

Lattice parameters (Å, degrees): 7.7646 7.7646 7.7646 82.36 82.36 82.36
Atoms (fractional coordinates):
K 0.0000 0.0000 0.0000
Pm 0.3325 0.3325 0.3325
Cd 0.0333 0.0333 0.4752
Cd 0.0333 0.4752 0.0333
Cd 0.1482 0.6760 0.6760
Cd 0.3138 0.3138 0.7970
Cd 0.3138 0.7970 0.3138
Cd 0.3659 0.6611 0.9626
Cd 0.3659 0.9626 0.6611
Cd 0.4752 0.0333 0.0333
Cd 0.5571 0.5571 0.5571
Cd 0.6611 0.3659 0.9626
Cd 0.6611 0.9626 0.3659
Cd 0.6760 0.1482 0.6760
Cd 0.6760 0.6760 0.1482
Cd 0.7559 0.7559 0.7559
Cd 0.7970 0.3138 0.3138
Cd 0.9626 0.3659 0.6611
Cd 0.9626 0.6611 0.3659

- M_tot: 0.0000 μB/atom
- SG: No. 160
- Total energy: -1.23 eV/atom



Entry 3:
VASP calculation (PBE) on a relaxed KPmCd crystal.

Lattice parameters (Å, degrees): 18.2057 3.7474 6.4642 90.00 90.00 90.00
Atoms (fractional coordinates):
K 0.1628 0.0000 0.0000
K 0.1628 0.5000 0.5000
K 0.8372 0.0000 0.0000
K 0.8372 0.5000 0.5000
Pm 0.3635 0.0000 0.6482
Pm 0.3635 0.5000 0.1482
Pm 0.6365 0.0000 0.6482
Pm 0.6365 0.5000 0.1482
Cd 0.0000 0.0000 0.6663
Cd 0.0000 0.5000 0.1663
Cd 0.5000 0.0000 0.9822
Cd 0.5000 0.5000 0.4822

- M_tot: 0.0000 μB/atom
- SG: No. 38
- Total energy: -2.11 eV/atom



Entry 4:
VASP calculation (PBE) on a relaxed KPmCd2 crystal.

Lattice parameters (Å, degrees): 3.8792 3.8792 8.6193 90.00 90.00 90.00
Atoms (fractional coordinates):
K 0.0000 0.0000 0.0000
Pm 0.0000 0.0000 0.5000
Cd 0.5000 0.5000 0.2914
Cd 0.5000 0.5000 0.7086

- Polymorph energy (0 for the lowest one): 0 meV per atom
- M_tot: 0.0967 μB/atom
- SG: No. 123
- Total energy: -2.04 eV/atom



Entry 5:
VASP calculation (PBE) on a relaxed KPmCd10 crystal.

Lattice parameters (Å, degrees): 4.8770 6.0366 10.3916 90.00 90.00 90.00
Atoms (fractional coordinates):
K 0.0000 0.0000 0.0000
Pm 0.0000 0.5000 0.5000
Cd 0.0000 0.0000 0.3356
Cd 0.0000 0.0000 0.6644
Cd 0.0000 0.5000 0.1698
Cd 0.0000 0.5000 0.8302
Cd 0.5000 0.0000 0.5000
Cd 0.5000 0.2603 0.2665
Cd 0.5000 0.2603 0.7335
Cd 0.5000 0.5000 0.0000
Cd 0.5000 0.7397 0.2665
Cd 0.5000 0.7397 0.7335

- M_tot: 0.0000 μB/atom
- SG: No. 47
- Total energy: -1.36 eV/atom



Entry 6:
VASP calculation (PBE) on a relaxed KPmCdS3 crystal.

Lattice parameters (Å, degrees): 8.7332 4.2068 10.0198 90.00 105.93 90.00
Atoms (fractional coordinates):
K 0.2019 0.2500 0.2140
K 0.7981 0.7500 0.7860
Pm 0.3315 0.7500 0.8606
Pm 0.6685 0.2500 0.1394
Cd 0.0862 0.2500 0.6098
Cd 0.9138 0.7500 0.3902
S 0.1094 0.2500 0.8645
S 0.2184 0.7500 0.5419
S 0.4553 0.7500 0.1457
S 0.5447 0.2500 0.8543
S 0.7816 0.2500 0.4581
S 0.8906 0.7500 0.1355

- M_tot: 0.0000 μB/atom
- SG: No. 11
- Total energy: -4.57 eV/atom
- Formation energy from raw total energies: -1.381 eV per atom



Entry 7:
VASP calculation (PBE) on a relaxed K2PmCd2S4 crystal.

Lattice parameters (Å, degrees): 8.4167 8.4167 8.0912 113.49 113.49 28.04
Atoms (fractional coordinates):
K 0.1252 0.1252 0.0534
K 0.8748 0.8748 0.9466
Pm 0.0000 0.0000 0.5000
Cd 0.3130 0.3130 0.4772
Cd 0.6870 0.6870 0.5228
S 0.1893 0.1893 0.7279
S 0.4756 0.4756 0.7233
S 0.5244 0.5244 0.2767
S 0.8107 0.8107 0.2721

- M_tot: 0.0000 μB/atom
- SG: No. 12
- Total energy: -3.93 eV/atom
- Formation energy from raw total energies: -1.119 eV per atom



Entry 8:
VASP calculation (PBE) on a relaxed K3Pm2CdS6 crystal.

Lattice parameters (Å, degrees): 7.1067 7.1067 7.8057 98.70 98.70 119.98
Atoms (fractional coordinates):
K 0.0000 0.0000 0.0000
K 0.3354 0.6646 0.0000
K 0.6646 0.3354 0.0000
Pm 0.1669 0.8331 0.5000
Pm 0.8331 0.1669 0.5000
Cd 0.5000 0.5000 0.5000
S 0.0997 0.4310 0.2930
S 0.2374 0.2374 0.7061
S 0.4310 0.0997 0.2930
S 0.5690 0.9003 0.7070
S 0.7626 0.7626 0.2939
S 0.9003 0.5690 0.7070

- M_tot: 0.0396 μB/atom
- SG: No. 12
- Total energy: -4.60 eV/atom
- Formation energy from raw total energies: -1.389 eV per atom